<i>
5
Lattice="5.373 -2.152 0.000 5.373 2.152 0.000 -1.543 0.000 5.275" Properties=species:S:1:pos:R:3 comment="AcTl2Rh2 | the Alexandria database | PBE-GGA | relaxed" sg="C2/m (12)" crystal_system=monoclinic total_magnetization_mub_per_atom=0.000 pbc="T T T"
Ac 0.000 0.000 0.000
Tl 3.107 0.000 2.198
Tl 6.096 0.000 3.078
Rh 1.720 0.000 4.629
Rh 7.483 0.000 0.646

***

<ii>
10
Lattice="5.576 0.000 0.000 2.781 6.020 0.000 2.768 0.002 7.420" Properties=species:S:1:pos:R:3 comment="AcTl2Rh2 | the Alexandria database | PBE-GGA | relaxed" sg="P-1 (2)" crystal_system=triclinic total_magnetization_mub_per_atom=0.000 pbc="T T T"
Ac 2.085 1.503 1.854
Ac 9.041 4.519 5.565
Tl 3.466 0.817 5.564
Tl 4.869 3.822 1.855
Tl 6.256 2.199 5.564
Tl 7.659 5.205 1.856
Rh 6.245 4.518 7.029
Rh 6.260 4.518 4.098
Rh 4.865 1.504 3.322
Rh 4.880 1.504 0.390

***

Most stable of them? <i>.

***

<i>
7
Lattice="2.165 -11.086 0.000 2.165 11.086 0.000 0.000 0.000 4.058" Properties=species:S:1:pos:R:3 comment="Ac2Tl3Rh2 | the Alexandria database | PBE-GGA | relaxed" sg="Cmmm (65)" crystal_system=orthorhombic total_magnetization_mub_per_atom=0.000 pbc="T T T"
Ac 2.165 7.194 0.000
Ac 2.165 -7.194 0.000
Tl 0.000 0.000 0.000
Tl 2.165 1.696 2.029
Tl 2.165 -1.696 2.029
Rh 2.165 4.554 2.029
Rh 2.165 -4.554 2.029

***

<ii>
7
Lattice="5.608 -2.111 0.000 5.608 2.111 0.000 -1.140 0.000 8.058" Properties=species:S:1:pos:R:3 comment="Ac2Tl3Rh2 | the Alexandria database | PBE-GGA | relaxed" sg="C2/m (12)" crystal_system=monoclinic total_magnetization_mub_per_atom=0.000 pbc="T T T"
Ac 0.954 0.000 2.877
Ac 9.121 0.000 5.181
Tl 1.148 0.000 6.858
Tl 5.608 0.000 0.000
Tl 8.927 0.000 1.200
Rh 4.104 0.000 3.004
Rh 5.971 0.000 5.054

***

Most stable of them? <i>.

***

<i>
20
Lattice="6.176 -8.040 0.000 6.176 8.040 0.000 0.000 0.000 8.159" Properties=species:S:1:pos:R:3 comment="Ac6Tl3Rh | the Alexandria database | PBE-GGA | relaxed" sg="Cmc2_1 (36)" crystal_system=orthorhombic total_magnetization_mub_per_atom=0.000 pbc="T T T"
Ac 6.176 7.940 4.079
Ac 4.177 4.214 3.363
Ac 6.176 4.169 7.823
Ac 4.246 0.325 7.786
Ac 4.246 -0.325 3.707
Ac 8.174 4.214 3.363
Ac 4.177 -4.214 7.443
Ac 8.105 0.325 7.786
Ac 8.105 -0.325 3.707
Ac 6.176 -4.169 3.743
Ac 8.174 -4.214 7.443
Ac 6.176 -7.940 0.000
Tl 2.207 1.788 1.999
Tl 2.207 -1.788 6.079
Tl 6.176 1.985 5.299
Tl 6.176 -1.985 1.219
Tl 10.145 1.788 1.999
Tl 10.145 -1.788 6.079
Rh 6.176 5.820 2.041
Rh 6.176 -5.820 6.120

***

<ii>
20
Lattice="7.308 0.000 0.000 0.000 9.372 0.000 -6.354 0.000 11.269" Properties=species:S:1:pos:R:3 comment="Ac6Tl3Rh | the Alexandria database | PBE-GGA | relaxed" sg="P2_1/c (14)" crystal_system=monoclinic total_magnetization_mub_per_atom=0.000 pbc="T T T"
Ac -0.926 0.578 2.654
Ac -4.103 4.108 8.288
Ac 0.962 6.595 0.800
Ac -2.215 7.463 6.435
Ac 2.554 1.454 0.647
Ac -0.622 3.232 6.282
Ac 1.577 6.140 4.987
Ac -1.600 7.918 10.622
Ac 3.169 1.909 4.834
Ac -0.007 2.777 10.468
Ac 5.057 5.264 2.981
Ac 1.880 8.794 8.615
Tl -2.359 1.033 8.286
Tl 0.818 3.653 2.651
Tl 0.477 0.000 5.634
Tl 3.654 4.686 0.000
Tl 0.136 5.719 8.618
Tl 3.313 8.340 2.983
Rh 0.000 0.000 0.000
Rh -3.177 4.686 5.634

***

Most stable of them? <ii>.

***

<i>
14
Lattice="8.453 -2.050 0.000 8.453 2.050 0.000 -7.646 0.000 10.195" Properties=species:S:1:pos:R:3 comment="Ac2Tl2Rh3 | the Alexandria database | PBE-GGA | relaxed" sg="C2/m (12)" crystal_system=monoclinic total_magnetization_mub_per_atom=0.000 pbc="T T T"
Ac -0.791 0.000 3.556
Ac 1.919 0.000 0.285
Ac 7.341 0.000 9.910
Ac 10.052 0.000 6.639
Tl -1.406 0.000 6.962
Tl 4.815 0.000 2.782
Tl 4.446 0.000 7.413
Tl 10.667 0.000 3.233
Rh -3.211 0.000 9.210
Rh 2.955 0.000 5.037
Rh 0.816 0.000 8.777
Rh 8.445 0.000 1.418
Rh 6.305 0.000 5.158
Rh 12.471 0.000 0.985

***

<ii>
14
Lattice="-4.477 4.477 4.477 4.477 -4.477 4.477 4.477 4.477 -4.477" Properties=species:S:1:pos:R:3 comment="Ac2Tl2Rh3 | the Alexandria database | PBE-GGA | relaxed" sg="I2_13 (199)" crystal_system=cubic total_magnetization_mub_per_atom=0.000 pbc="T T T"
Ac 4.376 0.102 -0.102
Ac 0.102 0.102 0.102
Ac 0.102 -0.102 4.376
Ac -0.102 4.376 0.102
Tl 6.289 -1.812 1.812
Tl 1.812 6.289 -1.812
Tl 2.665 2.665 2.665
Tl -1.812 1.812 6.289
Rh 4.477 2.239 -2.081
Rh 2.239 2.081 0.000
Rh 2.081 0.000 2.239
Rh 2.239 -2.081 4.477
Rh 0.000 2.239 2.081
Rh -2.081 4.477 2.239

***

Most stable of them? <ii>.